This record from Alexandria describes a relaxed Pa5BSe5 crystal. The functional is PBE.

Structure (CIF):
```
data_Pa5BSe5
_chemical_formula_sum 'Pa10 B2 Se10'
_symmetry_space_group_name_H-M 'C 1 2/m 1'
_symmetry_Int_Tables_number 12
_cell_length_a 12.5412
_cell_length_b 5.6405
_cell_length_c 7.9906
_cell_angle_alpha 90.00
_cell_angle_beta 109.01
_cell_angle_gamma 90.00
loop_
_symmetry_equiv_pos_as_xyz
'x,y,z'
'-x,-y,-z'
'-x,y,-z'
'x,-y,z'
'x+1/2,y+1/2,z'
'-x+1/2,-y+1/2,-z'
'-x+1/2,y+1/2,-z'
'x+1/2,-y+1/2,z'
loop_
_atom_site_label
_atom_site_fract_x
_atom_site_fract_y
_atom_site_fract_z
_atom_site_occupancy
Pa1 0.0000 0.0000 0.0000 1
Pa2 0.1546 0.5000 0.3066 1
Pa3 0.1595 0.5000 0.8519 1
B1 0.0000 0.5000 0.0000 1
Se1 0.0000 0.5000 0.5000 1
Se2 0.1528 0.0000 0.8058 1
Se3 0.1706 0.0000 0.3426 1
```

Output
- Raw formation energy: -1.09 eV per atom